# 1
! SCAN BeAgAu3, PBEsol geometry; values from VASP
&SYSTEM
  ibrav = 0, nat = 5, ntyp = 3
/
ATOMIC_SPECIES
Au 196.97 Au.upf
Ag 107.87 Ag.upf
Be 9.01 Be.upf
CELL_PARAMETERS angstrom
4.3560 0.0000 0.0000
0.0000 4.3560 0.0000
0.0000 0.0000 4.3560
ATOMIC_POSITIONS crystal
Au 0.0000 0.0000 0.5000
Au 0.5000 0.0000 0.0000
Au 0.0000 0.5000 0.0000
Ag 0.5000 0.5000 0.5000
Be 0.0000 0.0000 0.0000
! Crystal system = cubic
! DOS(E_F) = 1.48 states/eV/cell
! Space group = Pm-3m, No. 221
! Energy relative to the elements = 0.40 eV/f.u.
! M_tot = 0.00 μB/atom
! Volume = 82.7 Å³/cell

# 2
! SCAN Be2AgAu, PBEsol geometry; values from VASP
&SYSTEM
  ibrav = 0, nat = 4, ntyp = 3
/
ATOMIC_SPECIES
Be 9.01 Be.upf
Au 196.97 Au.upf
Ag 107.87 Ag.upf
CELL_PARAMETERS angstrom
-1.0647 -1.4339 2.3028
2.7007 -0.7934 0.7546
0.5149 4.8526 3.2596
ATOMIC_POSITIONS crystal
Be 0.0000 0.0000 0.7419
Be 0.0000 0.0000 0.2581
Au 0.5000 0.5000 0.5000
Ag 0.5000 0.5000 0.0000
! Energy relative to the lowest polymorph listed for this composition = 0.036 eV per atom
! Crystal system = tetragonal
! DOS(E_F) = 0.81 states/eV/cell
! Space group = P4/mmm, No. 123
! Energy relative to the elements = -0.52 eV/f.u.
! M_tot = 0.00 μB/atom
! Volume = 49.8 Å³/cell

# 3
! SCAN Be2AgAu2, PBEsol geometry; values from VASP
&SYSTEM
  ibrav = 0, nat = 5, ntyp = 3
/
ATOMIC_SPECIES
Be 9.01 Be.upf
Au 196.97 Au.upf
Ag 107.87 Ag.upf
CELL_PARAMETERS angstrom
3.3916 0.0000 0.0000
0.0000 3.3916 0.0000
-1.6958 -1.6958 6.1546
ATOMIC_POSITIONS crystal
Be 0.7500 0.2500 0.5000
Be 0.2500 0.7500 0.5000
Au 0.3802 0.3802 0.7603
Au 0.6198 0.6198 0.2397
Ag 0.0000 0.0000 0.0000
! Energy relative to the lowest polymorph listed for this composition = 0.000 eV per atom
! Crystal system = tetragonal
! DOS(E_F) = 1.09 states/eV/cell
! Space group = I4/mmm, No. 139
! Energy relative to the elements = -1.13 eV/f.u.
! M_tot = 0.00 μB/atom
! Volume = 70.8 Å³/cell